Entry 1:
An optimized crystal structure of TlCoTc2, computed with PBE-GGA.

Summary:
- size of the total moment (μB/f.u.) = 0.59
- energy of formation (eV/atom) = 0.530
- excess energy over the best structure of this formula in the dataset (meV/atom) = 123

CIF file:
```
data_TlCoTc2
_chemical_formula_sum 'Tl2 Co2 Tc4'
_symmetry_space_group_name_H-M 'C 1 2/m 1'
_symmetry_Int_Tables_number 12
_symmetry_space_group_name_Hall '-C 2y'
_cell_length_a 9.3073
_cell_length_b 2.8855
_cell_length_c 4.7500
_cell_angle_alpha 90.00
_cell_angle_beta 103.15
_cell_angle_gamma 90.00
loop_
_atom_site_label
_atom_site_fract_x
_atom_site_fract_y
_atom_site_fract_z
_atom_site_occupancy
Tl1 0.0000 0.0000 0.0000 1
Co1 0.0000 0.5000 0.5000 1
Tc1 0.2315 0.0000 0.7087 1
```

Entry 2:
An optimized crystal structure of SrLa3Ir, computed with PBE-GGA.

Summary:
- size of the total moment (μB/f.u.) = 0.00
- energy of formation (eV/atom) = -0.323
- excess energy over the best structure of this formula in the dataset (meV/atom) = 0

CIF file:
```
data_SrLa3Ir
_chemical_formula_sum 'Sr4 La12 Ir4'
_symmetry_space_group_name_H-M 'I m m a'
_symmetry_Int_Tables_number 74
_symmetry_space_group_name_Hall '-I 2b 2'
_cell_length_a 8.1578
_cell_length_b 11.5950
_cell_length_c 8.1265
_cell_angle_alpha 90.00
_cell_angle_beta 90.00
_cell_angle_gamma 90.00
loop_
_atom_site_label
_atom_site_fract_x
_atom_site_fract_y
_atom_site_fract_z
_atom_site_occupancy
Sr1 0.0000 0.2500 0.0382 1
La1 0.0000 0.2500 0.5275 1
La2 0.2500 0.0140 0.7500 1
Ir1 0.0000 0.0000 0.5000 1
```

Entry 3:
An optimized crystal structure of RbBeSnO4, computed with PBE-GGA.

Summary:
- size of the total moment (μB/f.u.) = 1.02
- E_form (uncorrected) (eV per atom) = -1.619

CIF file:
```
data_RbBeSnO4
_chemical_formula_sum 'Rb2 Be2 Sn2 O8'
_symmetry_space_group_name_H-M 'P 1 21/m 1'
_symmetry_Int_Tables_number 11
_symmetry_space_group_name_Hall '-P 2yb'
_cell_length_a 5.2452
_cell_length_b 5.5200
_cell_length_c 7.5832
_cell_angle_alpha 90.00
_cell_angle_beta 109.79
_cell_angle_gamma 90.00
loop_
_atom_site_label
_atom_site_fract_x
_atom_site_fract_y
_atom_site_fract_z
_atom_site_occupancy
Rb1 0.2200 0.2500 0.4453 1
Be1 0.2463 0.7500 0.1465 1
Sn1 0.3082 0.2500 0.9650 1
O1 0.0303 0.7500 0.9340 1
O2 0.0435 0.7500 0.2688 1
O3 0.4626 0.5241 0.1639 1
```

Entry 4:
An optimized crystal structure of LiAgHg2Pt, computed with PBE-GGA.

Summary:
- size of the total moment (μB/f.u.) = 0.00
- energy of formation (eV/atom) = 0.127

CIF file:
```
data_LiAgHg2Pt
_chemical_formula_sum 'Li1 Ag1 Hg2 Pt1'
_symmetry_space_group_name_H-M 'P 4/m m m'
_symmetry_Int_Tables_number 123
_symmetry_space_group_name_Hall '-P 4 2'
_cell_length_a 5.2423
_cell_length_b 5.2423
_cell_length_c 4.6533
_cell_angle_alpha 90.00
_cell_angle_beta 90.00
_cell_angle_gamma 90.00
loop_
_atom_site_label
_atom_site_fract_x
_atom_site_fract_y
_atom_site_fract_z
_atom_site_occupancy
Li1 0.0000 0.0000 0.0000 1
Ag1 0.5000 0.5000 0.0000 1
Hg1 0.0000 0.5000 0.5000 1
Pt1 0.0000 0.0000 0.5000 1
```

Entry 5:
An optimized crystal structure of Pr2Sm4YSc, computed with PBE-GGA.

Summary:
- size of the total moment (μB/f.u.) = 0.00
- energy of formation (eV/atom) = 0.033

CIF file:
```
data_Pr2Sm4YSc
_chemical_formula_sum 'Pr2 Sm4 Y1 Sc1'
_symmetry_space_group_name_H-M 'P 1 2/m 1'
_symmetry_Int_Tables_number 10
_symmetry_space_group_name_Hall '-P 2y'
_cell_length_a 5.0884
_cell_length_b 5.1002
_cell_length_c 10.1475
_cell_angle_alpha 90.00
_cell_angle_beta 90.06
_cell_angle_gamma 90.00
loop_
_atom_site_label
_atom_site_fract_x
_atom_site_fract_y
_atom_site_fract_z
_atom_site_occupancy
Pr1 0.0000 0.0000 0.0000 1
Pr2 0.5000 0.5000 0.5000 1
Sm1 0.9996 0.5000 0.2444 1
Sm2 0.4998 0.0000 0.2450 1
Y1 0.0000 0.0000 0.5000 1
Sc1 0.5000 0.5000 0.0000 1
```

Entry 6:
An optimized crystal structure of Ba3NaNd2S6, computed with PBE-GGA.

Summary:
- size of the total moment (μB/f.u.) = 0.00
- E_form (uncorrected) (eV per atom) = -1.939

CIF file:
```
data_Ba3NaNd2S6
_chemical_formula_sum 'Ba6 Na2 Nd4 S12'
_symmetry_space_group_name_H-M 'C 1 2/m 1'
_symmetry_Int_Tables_number 12
_symmetry_space_group_name_Hall '-C 2y'
_cell_length_a 7.4417
_cell_length_b 12.8837
_cell_length_c 7.5361
_cell_angle_alpha 90.00
_cell_angle_beta 109.11
_cell_angle_gamma 90.00
loop_
_atom_site_label
_atom_site_fract_x
_atom_site_fract_y
_atom_site_fract_z
_atom_site_occupancy
Ba1 0.0000 0.0000 0.0000 1
Ba2 0.0000 0.3375 0.0000 1
Na1 0.0000 0.5000 0.5000 1
Nd1 0.0000 0.1674 0.5000 1
S1 0.2289 0.0000 0.7193 1
S2 0.2475 0.3274 0.7239 1
```

Entry 7:
An optimized crystal structure of Y2TmZr3N6, computed with PBE-GGA.

Summary:
- size of the total moment (μB/f.u.) = 0.00
- E_form (uncorrected) (eV per atom) = -1.737

CIF file:
```
data_Y2TmZr3N6
_chemical_formula_sum 'Y4 Tm2 Zr6 N12'
_symmetry_space_group_name_H-M 'C 1 2/m 1'
_symmetry_Int_Tables_number 12
_symmetry_space_group_name_Hall '-C 2y'
_cell_length_a 5.7825
_cell_length_b 9.9988
_cell_length_c 5.8265
_cell_angle_alpha 90.00
_cell_angle_beta 109.36
_cell_angle_gamma 90.00
loop_
_atom_site_label
_atom_site_fract_x
_atom_site_fract_y
_atom_site_fract_z
_atom_site_occupancy
Y1 0.0000 0.1666 0.0000 1
Tm1 0.0000 0.5000 0.0000 1
Zr1 0.0000 0.0000 0.5000 1
Zr2 0.0000 0.3340 0.5000 1
N1 0.2408 0.5000 0.7352 1
N2 0.2468 0.1646 0.7346 1
```

Entry 8:
An optimized crystal structure of BaMnPPd, computed with PBE-GGA.

Summary:
- size of the total moment (μB/f.u.) = 1.34
- energy of formation (eV/atom) = -0.575

CIF file:
```
data_BaMnPPd
_chemical_formula_sum 'Ba2 Mn2 P2 Pd2'
_symmetry_space_group_name_H-M 'P 4/n m m'
_symmetry_Int_Tables_number 129
_cell_length_a 3.8204
_cell_length_b 3.8204
_cell_length_c 11.6740
_cell_angle_alpha 90.00
_cell_angle_beta 90.00
_cell_angle_gamma 90.00
loop_
_symmetry_equiv_pos_as_xyz
'x,y,z'
'-x,-y,-z'
'-y+1/2,x,z'
'y+1/2,-x,-z'
'-x+1/2,-y+1/2,z'
'x+1/2,y+1/2,-z'
'y,-x+1/2,z'
'-y,x+1/2,-z'
'x+1/2,-y,-z'
'-x+1/2,y,z'
'-y,-x,-z'
'y,x,z'
'-x,y+1/2,-z'
'x,-y+1/2,z'
'y+1/2,x+1/2,-z'
'-y+1/2,-x+1/2,z'
loop_
_atom_site_label
_atom_site_fract_x
_atom_site_fract_y
_atom_site_fract_z
_atom_site_occupancy
Ba1 0.2500 0.2500 0.2290 1
Mn1 0.2500 0.7500 0.5000 1
P1 0.2500 0.2500 0.6091 1
Pd1 0.2500 0.7500 0.0000 1
```